Model w:
Here is FeCo2Rh2 after structural relaxation from the Alexandria database. Energies are from PBE.

Properties
**Spin magnetization**: 14.774 μB/cell
**Density**: 8.78 Mg/m³

Unit cell a=3.671 b=3.671 c=10.652 alpha=90.00 beta=90.00 gamma=90.00
Space group I4/mmm (No. 139)
Asymmetric unit:
Fe: 0.000 0.000 0.000 [2 per cell]
Co: 0.000 0.000 0.403 [4 per cell]
Rh: 0.000 0.500 0.250 [4 per cell]

---

Model x:
Here is FeCo2Rh2 after structural relaxation from the Alexandria database. Energies are from PBE.

Properties
**Spin magnetization**: 15.014 μB/cell
**Density**: 9.58 Mg/m³

Unit cell a=5.968 b=5.968 c=3.692 alpha=90.00 beta=90.00 gamma=90.00
Space group P4/mbm (No. 127)
Asymmetric unit:
Fe: 0.000 0.000 0.000 [2 per cell]
Co: 0.135 0.365 0.000 [4 per cell]
Rh: 0.167 0.667 0.500 [4 per cell]

---

Result of the stability comparison: model x is the most stable of them.

---

Model w:
Here is Fe3Co2Rh after structural relaxation from the Alexandria database. Energies are from PBE.

Properties
**Spin magnetization**: 52.745 μB/cell
**Density**: 8.78 Mg/m³

Unit cell a=4.091 b=12.270 c=5.852 alpha=90.00 beta=90.00 gamma=90.00
Space group Cmmm (No. 65)
Asymmetric unit:
Fe: 0.000 0.000 0.240 [4 per cell]
Fe: 0.000 0.337 0.236 [8 per cell]
Co: 0.000 0.167 0.000 [4 per cell]
Co: 0.000 0.500 0.000 [2 per cell]
Co: 0.000 0.500 0.500 [2 per cell]
Rh: 0.000 0.167 0.500 [4 per cell]

---

Model x:
Here is Fe3Co2Rh after structural relaxation from the Alexandria database. Energies are from PBE.

Properties
**Spin magnetization**: 13.351 μB/cell
**Density**: 8.79 Mg/m³

Unit cell a=2.900 b=2.900 c=8.726 alpha=90.00 beta=90.00 gamma=90.00
Space group P4/mmm (No. 123)
Asymmetric unit:
Fe: 0.000 0.000 0.000 [1 per cell]
Fe: 0.000 0.000 0.317 [2 per cell]
Co: 0.500 0.500 0.161 [2 per cell]
Rh: 0.500 0.500 0.500 [1 per cell]

---

Result of the stability comparison: model x is the most stable of them.

---

Model w:
Here is FeCoRh4 after structural relaxation from the Alexandria database. Energies are from PBE.

Properties
**Spin magnetization**: 33.518 μB/cell
**Density**: 9.60 Mg/m³

Unit cell a=7.141 b=7.141 c=7.141 alpha=90.00 beta=90.00 gamma=90.00
Space group F-43m (No. 216)
Asymmetric unit:
Fe: 0.000 0.000 0.000 [4 per cell]
Co: 0.250 0.250 0.250 [4 per cell]
Rh: 0.125 0.125 0.625 [16 per cell]

---

Model x:
Here is FeCoRh4 after structural relaxation from the Alexandria database. Energies are from PBE.

Properties
**Spin magnetization**: 4.406 μB/cell
**Density**: 10.95 Mg/m³

Unit cell a=2.698 b=2.698 c=10.969 alpha=90.00 beta=90.00 gamma=90.00
Space group P4/mmm (No. 123)
Asymmetric unit:
Fe: 0.000 0.000 0.000 [1 per cell]
Co: 0.500 0.500 0.500 [1 per cell]
Rh: 0.000 0.000 0.341 [2 per cell]
Rh: 0.500 0.500 0.162 [2 per cell]

---

Result of the stability comparison: model x is the most stable of them.

---

Model w:
Here is Fe2Co2Rh after structural relaxation from the Alexandria database. Energies are from PBE.

Properties
**Spin magnetization**: 17.910 μB/cell
**Density**: 9.12 Mg/m³

Unit cell a=2.563 b=4.105 c=11.513 alpha=90.00 beta=90.00 gamma=90.00
Space group Immm (No. 71)
Asymmetric unit:
Fe: 0.000 0.000 0.105 [4 per cell]
Co: 0.000 0.500 0.210 [4 per cell]
Rh: 0.000 0.000 0.500 [2 per cell]

---

Model x:
Here is Fe2Co2Rh after structural relaxation from the Alexandria database. Energies are from PBE.

Properties
**Spin magnetization**: 18.925 μB/cell
**Density**: 8.92 Mg/m³

Unit cell a=6.778 b=6.778 c=2.694 alpha=90.00 beta=90.00 gamma=90.00
Space group P4/mbm (No. 127)
Asymmetric unit:
Fe: 0.143 0.357 0.000 [4 per cell]
Co: 0.155 0.655 0.500 [4 per cell]
Rh: 0.000 0.000 0.000 [2 per cell]

---

Result of the stability comparison: model w is the most stable of them.

---

Model w:
Here is Fe2Co2Ru after structural relaxation from the Alexandria database. Energies are from PBE.

Properties
**Spin magnetization**: 17.999 μB/cell
**Density**: 8.98 Mg/m³

Unit cell a=6.779 b=6.779 c=2.661 alpha=90.00 beta=90.00 gamma=90.00
Space group P4/mbm (No. 127)
Asymmetric unit:
Fe: 0.145 0.355 0.000 [4 per cell]
Co: 0.153 0.653 0.500 [4 per cell]
Ru: 0.000 0.000 0.000 [2 per cell]

---

Model x:
Here is Fe2Co2Ru after structural relaxation from the Alexandria database. Energies are from PBE.

Properties
**Spin magnetization**: 13.551 μB/cell
**Density**: 9.24 Mg/m³

Unit cell a=6.680 b=6.680 c=2.662 alpha=90.00 beta=90.00 gamma=90.00
Space group P4/mbm (No. 127)
Asymmetric unit:
Fe: 0.168 0.332 0.000 [4 per cell]
Co: 0.130 0.630 0.500 [4 per cell]
Ru: 0.000 0.000 0.500 [2 per cell]

---

Result of the stability comparison: model x is the most stable of them.

---

Model w:
Here is Fe6CoRu after structural relaxation from the Alexandria database. Energies are from PBE.

Properties
**Spin magnetization**: 16.769 μB/cell
**Density**: 8.48 Mg/m³

Unit cell a=4.594 b=4.594 c=4.594 alpha=90.00 beta=90.00 gamma=90.00
Space group Pm-3 (No. 200)
Asymmetric unit:
Fe: 0.000 0.247 0.500 [6 per cell]
Co: 0.000 0.000 0.000 [1 per cell]
Ru: 0.500 0.500 0.500 [1 per cell]

---

Model x:
Here is Fe6CoRu after structural relaxation from the Alexandria database. Energies are from PBE.

Properties
**Spin magnetization**: 52.833 μB/cell
**Density**: 8.55 Mg/m³

Unit cell a=4.0826 b=4.0826 c=19.9801 alpha=90.00 beta=90.00 gamma=120.00
Space group R-3m (No. 166, hexagonal axes)
Asymmetric unit:
Fe: 0.0000 0.0000 0.1224 [6 per cell]
Fe: 0.0000 0.0000 0.2501 [6 per cell]
Fe: 0.0000 0.0000 0.3729 [6 per cell]
Co: 0.0000 0.0000 0.0000 [3 per cell]
Ru: 0.0000 0.0000 0.5000 [3 per cell]

---

Result of the stability comparison: model x is the most stable of them.